[1]
Below is a relaxed AcHo4Tm15 crystal, with properties calculated at the PBE level.

Geometry as extended XYZ:
```
20
Lattice="4.9746 0.0000 0.0000 0.0000 4.9746 0.0000 0.0000 0.0000 24.8922" Properties=species:S:1:pos:R:3 pbc="T T T"
Ac 0.0000 0.0000 0.0000
Ho 0.0000 0.0000 5.0630
Ho 0.0000 0.0000 9.9902
Ho 0.0000 0.0000 14.9020
Ho 0.0000 0.0000 19.8292
Tm 0.0000 2.4873 2.6334
Tm 0.0000 2.4873 7.5325
Tm 0.0000 2.4873 12.4461
Tm 0.0000 2.4873 17.3598
Tm 0.0000 2.4873 22.2589
Tm 2.4873 0.0000 2.6334
Tm 2.4873 0.0000 7.5325
Tm 2.4873 0.0000 12.4461
Tm 2.4873 0.0000 17.3598
Tm 2.4873 0.0000 22.2589
Tm 2.4873 2.4873 0.0000
Tm 2.4873 2.4873 5.0867
Tm 2.4873 2.4873 9.9874
Tm 2.4873 2.4873 14.9049
Tm 2.4873 2.4873 19.8056
```

Values from the calculation:
- calculated total energy (eV/atom) = -4.4365
- ΔH_f (0 K) (eV/atom) = 0.038
- V (Å³ per cell) = 616

[2]
Below is a relaxed Sc4SiAsSe2 crystal, with properties calculated at the PBE level.

Geometry as extended XYZ:
```
8
Lattice="6.7031 0.0000 0.0000 0.0000 3.8644 0.0000 -2.2219 0.0000 6.3721" Properties=species:S:1:pos:R:3 pbc="T T T"
Sc 1.0960 0.0000 1.5048
Sc -0.0210 1.9322 4.8711
Sc 4.5022 1.9322 1.5011
Sc 3.3852 0.0000 4.8673
Si 0.0000 1.9322 0.0000
As 3.3515 0.0000 0.0000
Se -1.1109 0.0000 3.1861
Se 2.2406 1.9322 3.1861
```

Values from the calculation:
- calculated total energy (eV/atom) = -6.6739
- energy relative to the elements, uncorrected (meV per atom) = -1378
- V (Å³ per cell) = 165

[3]
Below is a relaxed BaSc2Ni crystal, with properties calculated at the PBE level.

Geometry as extended XYZ:
```
4
Lattice="3.6184 0.0000 0.0000 0.0000 3.6262 0.0000 -0.0874 0.0000 8.2721" Properties=species:S:1:pos:R:3 pbc="T T T"
Ba 0.0000 0.0000 0.0000
Sc -0.0224 0.0000 4.9753
Sc 1.7871 1.8131 3.0065
Ni 1.7847 1.8131 5.6323
```

Values from the calculation:
- calculated total energy (eV/atom) = -5.0629
- energy relative to the lowest polymorph listed for this composition (kJ/mol of formula units) = 19
- ΔH_f (0 K) (eV/atom) = 0.029
- V (Å³ per cell) = 109

[4]
Below is a relaxed MgW2Br crystal, with properties calculated at the PBE level.

Geometry as extended XYZ:
```
4
Lattice="1.5248 -2.4479 0.0000 1.5248 2.4479 0.0000 0.0000 0.0000 9.6177" Properties=species:S:1:pos:R:3 pbc="T T T"
Mg 0.0000 0.0000 0.0000
W 1.5248 0.0000 2.4311
W 1.5248 0.0000 7.1866
Br 0.0000 0.0000 4.8089
```

Values from the calculation:
- calculated total energy (eV/atom) = -6.2730
- energy relative to the elements, uncorrected (meV per atom) = 1020
- energy relative to the lowest polymorph listed for this composition (kJ/mol of formula units) = 284
- V (Å³ per cell) = 72

[5]
Below is a relaxed K2HfIr3O12 crystal, with properties calculated at the PBE level.

Geometry as extended XYZ:
```
18
Lattice="3.6215 2.0909 6.1397 -3.6215 2.0909 6.1397 0.0000 -4.1818 6.1397" Properties=species:S:1:pos:R:3 pbc="T T T"
K 0.0000 0.0000 2.0533
K 0.0000 0.0000 16.3657
Hf 0.0000 0.0000 9.2095
Ir -1.8108 -1.0454 6.1397
Ir -1.8108 1.0454 12.2793
Ir 0.0000 2.0909 6.1397
O -1.4454 -0.8345 8.0027
O 0.0000 -1.6631 5.7919
O -1.4403 0.8316 5.7919
O -1.4403 -0.8316 12.6272
O 0.0000 -1.6691 10.4163
O -1.4454 0.8345 10.4163
O 1.4454 -0.8345 8.0027
O 0.0000 1.6691 8.0027
O 1.4403 0.8316 5.7919
O 1.4403 -0.8316 12.6272
O 0.0000 1.6631 12.6272
O 1.4454 0.8345 10.4163
```

Values from the calculation:
- calculated total energy (eV/atom) = -6.7407
- energy relative to the elements, uncorrected (meV per atom) = -1284
- V (Å³ per cell) = 279

[6]
Below is a relaxed Ce2Hg3Rh crystal, with properties calculated at the PBE level.

Geometry as extended XYZ:
```
6
Lattice="3.4675 0.0000 0.0000 0.0000 5.0636 0.0000 0.0000 0.0000 8.3276" Properties=species:S:1:pos:R:3 pbc="T T T"
Ce 0.0000 0.0000 0.0000
Ce 0.0000 2.5318 3.5980
Hg 1.7338 0.0000 5.0119
Hg 1.7338 2.5318 0.9806
Hg 1.7338 2.5318 6.4654
Rh 1.7338 0.0000 2.1385
```

Values from the calculation:
- calculated total energy (eV/atom) = -3.7622
- ΔH_f (0 K) (eV/atom) = -0.408
- V (Å³ per cell) = 146

[7]
Below is a relaxed Ca3AcPd8 crystal, with properties calculated at the PBE level.

Geometry as extended XYZ:
```
12
Lattice="2.7697 1.5991 9.0089 -2.7697 1.5991 9.0089 0.0000 -3.1982 9.0089" Properties=species:S:1:pos:R:3 pbc="T T T"
Ca 0.0000 0.0000 0.0000
Ca 0.0000 0.0000 3.2888
Ca 0.0000 0.0000 13.2294
Ac 0.0000 0.0000 16.7066
Pd 0.0000 -1.6038 6.0209
Pd -1.3889 0.8019 6.0209
Pd -1.3844 -0.7993 10.5570
Pd 0.0000 0.0000 8.3038
Pd 1.3889 0.8019 6.0209
Pd 1.3844 -0.7993 10.5570
Pd 0.0000 1.5985 10.5570
Pd 0.0000 0.0000 21.7969
```

Values from the calculation:
- calculated total energy (eV/atom) = -5.0202
- energy relative to the lowest polymorph listed for this composition (kJ/mol of formula units) = 0
- ΔH_f (0 K) (eV/atom) = -0.716
- V (Å³ per cell) = 239

[8]
Below is a relaxed SmGa4Pt2Au crystal, with properties calculated at the PBE level.

Geometry as extended XYZ:
```
8
Lattice="2.1584 1.2461 9.1265 -2.1584 1.2461 9.1265 0.0000 -2.4923 9.1265" Properties=species:S:1:pos:R:3 pbc="T T T"
Sm 0.0000 0.0000 0.0000
Ga 0.0000 0.0000 3.4008
Ga 0.0000 0.0000 10.8662
Ga 0.0000 0.0000 16.5135
Ga 0.0000 0.0000 23.9789
Pt 0.0000 0.0000 6.8406
Pt 0.0000 0.0000 20.5390
Au 0.0000 0.0000 13.6898
```

Values from the calculation:
- calculated total energy (eV/atom) = -4.6144
- ΔH_f (0 K) (eV/atom) = -0.591
- V (Å³ per cell) = 147

[9]
Below is a relaxed TlFe2Co crystal, with properties calculated at the PBE level.

Geometry as extended XYZ:
```
8
Lattice="-3.3893 3.3893 2.5312 3.3893 -3.3893 2.5312 3.3893 3.3893 -2.5312" Properties=species:S:1:pos:R:3 pbc="T T T"
Tl 0.0000 0.0000 0.0000
Tl 0.0000 3.3893 1.2656
Fe 1.6947 -1.3029 1.8984
Fe 2.0864 1.6947 0.6328
Fe 1.6947 4.6923 -0.6328
Fe 1.3029 1.6947 3.1640
Co 3.3893 0.0000 1.2656
Co 0.0000 0.0000 2.5312
```

Values from the calculation:
- calculated total energy (eV/atom) = -5.5746
- ΔH_f (0 K) (eV/atom) = 1.025
- V (Å³ per cell) = 116

[10]
Below is a relaxed Ce2EuBi crystal, with properties calculated at the PBE level.

Geometry as extended XYZ:
```
4
Lattice="0.0000 3.9542 3.9542 3.9542 0.0000 3.9542 3.9542 3.9542 0.0000" Properties=species:S:1:pos:R:3 pbc="T T T"
Ce 1.9771 1.9771 1.9771
Ce 5.9313 5.9313 5.9313
Eu 0.0000 0.0000 0.0000
Bi 3.9542 3.9542 3.9542
```

Values from the calculation:
- calculated total energy (eV/atom) = -6.6552
- energy relative to the lowest polymorph listed for this composition (kJ/mol of formula units) = 72
- ΔH_f (0 K) (eV/atom) = -0.149
- V (Å³ per cell) = 124

[11]
Below is a relaxed KH3Au crystal, with properties calculated at the PBE level.

Geometry as extended XYZ:
```
10
Lattice="4.3821 0.0000 0.0000 0.0066 5.9840 0.0000 2.1854 0.7773 6.5417" Properties=species:S:1:pos:R:3 pbc="T T T"
K 0.0000 0.0000 0.0000
K 2.1924 3.3759 3.3896
H 2.1936 0.7441 1.9296
H 2.1918 1.2687 1.3644
H 2.1967 4.3906 0.7557
H 4.3856 2.6205 5.1518
H 4.3823 1.9447 2.2837
H 4.3812 2.4976 1.7429
Au 4.3838 3.9516 6.1520
Au 4.3821 5.9477 3.8908
```

Values from the calculation:
- calculated total energy (eV/atom) = -3.0397
- energy relative to the lowest polymorph listed for this composition (kJ/mol of formula units) = 10
- V (Å³ per cell) = 172

[12]
Below is a relaxed Rb2PuAlTe4 crystal, with properties calculated at the PBE level.

Geometry as extended XYZ:
```
16
Lattice="-4.5313 4.8101 6.6426 4.5313 -4.8101 6.6426 4.5313 4.8101 -6.6426" Properties=species:S:1:pos:R:3 pbc="T T T"
Rb 0.0000 0.0000 0.0000
Rb -2.2657 2.4051 3.3213
Rb 0.0000 4.8101 0.0000
Rb 2.2657 2.4051 3.3213
Pu 4.5313 0.0000 0.0000
Pu 0.0000 0.0000 6.6426
Al 2.2657 2.4051 -3.3213
Al 2.2657 -2.4051 3.3213
Te 4.5313 -0.5054 3.1515
Te 4.5313 4.3047 -3.1515
Te 2.5198 2.4051 -0.3746
Te 6.5429 2.4051 -0.3746
Te -2.0116 2.4051 7.0172
Te 2.0116 2.4051 7.0172
Te 0.0000 0.5054 9.7941
Te 0.0000 5.3155 3.4910
```

Values from the calculation:
- calculated total energy (eV/atom) = -4.8423
- energy relative to the elements, uncorrected (meV per atom) = -770
- V (Å³ per cell) = 579

[13]
Below is a relaxed YTc2HgN crystal, with properties calculated at the PBE level.

Geometry as extended XYZ:
```
5
Lattice="4.1582 0.0000 0.0000 0.0000 4.1582 0.0000 0.0000 0.0000 4.6894" Properties=species:S:1:pos:R:3 pbc="T T T"
Y 0.0000 0.0000 0.0000
Tc 0.0000 2.0791 2.3447
Tc 2.0791 0.0000 2.3447
Hg 2.0791 2.0791 0.0000
N 0.0000 0.0000 2.3447
```

Values from the calculation:
- calculated total energy (eV/atom) = -7.3195
- energy relative to the elements, uncorrected (meV per atom) = -155
- V (Å³ per cell) = 81

[14]
Below is a relaxed Tb4PrPd4 crystal, with properties calculated at the PBE level.

Geometry as extended XYZ:
```
18
Lattice="9.1302 0.0000 0.0000 0.0000 9.1302 0.0000 0.0000 0.0000 5.8014" Properties=species:S:1:pos:R:3 pbc="T T T"
Tb 0.6963 5.9685 0.9556
Tb 1.4034 8.4339 3.8564
Tb 3.1617 5.2615 3.8564
Tb 3.8688 7.7268 0.9556
Tb 5.2615 1.4034 4.8458
Tb 5.9685 3.8688 1.9451
Tb 7.7268 0.6963 1.9451
Tb 8.4339 3.1617 4.8458
Pr 2.2826 2.2826 1.4504
Pr 6.8477 6.8477 4.3511
Pd 0.3634 5.6766 3.8373
Pd 1.1115 8.7669 0.9365
Pd 3.4536 4.9285 0.9365
Pd 4.2018 8.0188 3.8373
Pd 4.9285 1.1115 1.9642
Pd 5.6766 4.2018 4.8649
Pd 8.0188 0.3634 4.8649
Pd 8.7669 3.4536 1.9642
```

Values from the calculation:
- calculated total energy (eV/atom) = -5.5456
- ΔH_f (0 K) (eV/atom) = -0.649
- V (Å³ per cell) = 484

[15]
Below is a relaxed Ca2RhCl crystal, with properties calculated at the PBE level.

Geometry as extended XYZ:
```
4
Lattice="-1.9995 1.9995 6.0076 1.9995 -1.9995 6.0076 1.9995 1.9995 -6.0076" Properties=species:S:1:pos:R:3 pbc="T T T"
Ca 0.0000 0.0000 0.0000
Ca 0.0000 1.9995 3.0038
Rh 0.0000 0.0000 6.0076
Cl 1.9995 0.0000 3.0038
```

Values from the calculation:
- calculated total energy (eV/atom) = -3.9583
- energy relative to the elements, uncorrected (meV per atom) = -658
- energy relative to the lowest polymorph listed for this composition (kJ/mol of formula units) = 156
- V (Å³ per cell) = 96

[16]
Below is a relaxed Tb3Mg3Cd2 crystal, with properties calculated at the PBE level.

Geometry as extended XYZ:
```
8
Lattice="8.0134 0.0000 0.0000 -4.0067 6.9398 0.0000 0.0000 0.0000 3.9217" Properties=species:S:1:pos:R:3 pbc="T T T"
Tb -2.3936 4.1458 0.0000
Tb 1.6131 2.7940 0.0000
Tb 4.7871 0.0000 0.0000
Mg -0.9322 1.6146 1.9608
Mg 1.8644 0.0000 1.9608
Mg 3.0745 5.3252 1.9608
Cd 0.0000 4.6265 1.9608
Cd 4.0067 2.3133 1.9608
```

Values from the calculation:
- calculated total energy (eV/atom) = -2.6822
- energy relative to the lowest polymorph listed for this composition (kJ/mol of formula units) = 51
- ΔH_f (0 K) (eV/atom) = -0.119
- V (Å³ per cell) = 218

[17]
Below is a relaxed Dy2Ho6Er5 crystal, with properties calculated at the PBE level.

Geometry as extended XYZ:
```
26
Lattice="11.5090 0.0000 0.0000 0.0000 19.9612 0.0000 0.0000 0.0000 3.5392" Properties=species:S:1:pos:R:3 pbc="T T T"
Dy 1.9071 4.2015 0.0000
Dy 3.8474 14.1821 0.0000
Dy 7.6616 5.7791 0.0000
Dy 9.6019 15.7597 0.0000
Ho 0.6771 18.3500 0.0000
Ho 0.9640 12.6088 0.0000
Ho 1.9849 7.3056 1.7696
Ho 3.7696 17.2862 1.7696
Ho 4.7905 2.6282 0.0000
Ho 5.0774 8.3694 0.0000
Ho 6.4316 11.5919 0.0000
Ho 6.7185 17.3331 0.0000
Ho 7.7393 2.6750 1.7696
Ho 9.5241 12.6556 1.7696
Ho 10.5449 7.3524 0.0000
Ho 10.8319 1.6113 0.0000
Er 0.0000 9.9806 1.7696
Er 1.0543 15.4430 1.7696
Er 2.2829 1.0010 1.7696
Er 3.4716 10.9817 1.7696
Er 4.7002 5.4624 1.7696
Er 5.7545 0.0000 1.7696
Er 6.8088 14.4988 1.7696
Er 8.0374 8.9796 1.7696
Er 9.2261 18.9602 1.7696
Er 10.4546 4.5182 1.7696
```

Values from the calculation:
- calculated total energy (eV/atom) = -4.4761
- ΔH_f (0 K) (eV/atom) = 0.100
- V (Å³ per cell) = 813

[18]
Below is a relaxed CaCeCuAu crystal, with properties calculated at the PBE level.

Geometry as extended XYZ:
```
4
Lattice="0.0000 3.6154 3.6154 3.6154 0.0000 3.6154 3.6154 3.6154 0.0000" Properties=species:S:1:pos:R:3 pbc="T T T"
Ca 0.0000 0.0000 0.0000
Ce 3.6154 3.6154 3.6154
Cu 1.8077 1.8077 1.8077
Au 5.4231 5.4231 5.4231
```

Values from the calculation:
- calculated total energy (eV/atom) = -4.2037
- ΔH_f (0 K) (eV/atom) = -0.376
- V (Å³ per cell) = 95

[19]
Below is a relaxed SmHgAu crystal, with properties calculated at the PBE level.

Geometry as extended XYZ:
```
3
Lattice="0.0000 3.4399 3.4399 3.4399 0.0000 3.4399 3.4399 3.4399 0.0000" Properties=species:S:1:pos:R:3 pbc="T T T"
Sm 0.0000 0.0000 0.0000
Hg 3.4399 3.4399 3.4399
Au 1.7199 1.7199 1.7199
```

Values from the calculation:
- calculated total energy (eV/atom) = -3.2855
- ΔH_f (0 K) (eV/atom) = -0.519
- V (Å³ per cell) = 81

[20]
Below is a relaxed SmFeSi crystal, with properties calculated at the PBE level.

Geometry as extended XYZ:
```
3
Lattice="4.0769 0.0000 0.0000 -2.0385 3.5307 0.0000 0.0000 0.0000 4.0091" Properties=species:S:1:pos:R:3 pbc="T T T"
Sm 0.0000 0.0000 0.0000
Fe 0.0000 2.3538 2.0046
Si 2.0385 1.1769 2.0046
```

Values from the calculation:
- calculated total energy (eV/atom) = -6.6089
- energy relative to the elements, uncorrected (meV per atom) = -407
- V (Å³ per cell) = 58

[21]
Below is a relaxed ZrGa2PdCl crystal, with properties calculated at the PBE level.

Geometry as extended XYZ:
```
5
Lattice="4.7007 0.0000 0.0000 0.0000 4.7007 0.0000 0.0000 0.0000 5.3625" Properties=species:S:1:pos:R:3 pbc="T T T"
Zr 0.0000 0.0000 0.0000
Ga 0.0000 2.3504 2.6813
Ga 2.3504 0.0000 2.6813
Pd 0.0000 0.0000 2.6813
Cl 2.3504 2.3504 0.0000
```

Values from the calculation:
- calculated total energy (eV/atom) = -4.4234
- energy relative to the elements, uncorrected (meV per atom) = -95
- energy relative to the lowest polymorph listed for this composition (kJ/mol of formula units) = 0
- V (Å³ per cell) = 118

[22]
Below is a relaxed BaCdNF2 crystal, with properties calculated at the PBE level.

Geometry as extended XYZ:
```
5
Lattice="4.5975 0.0000 0.0000 0.0000 4.5975 0.0000 0.0000 0.0000 4.3186" Properties=species:S:1:pos:R:3 pbc="T T T"
Ba 0.0000 0.0000 0.0000
Cd 2.2987 2.2987 2.1593
N 2.2987 2.2987 0.0000
F 0.0000 2.2987 2.1593
F 2.2987 0.0000 2.1593
```

Values from the calculation:
- calculated total energy (eV/atom) = -4.4492
- energy relative to the elements, uncorrected (meV per atom) = -1468
- energy relative to the lowest polymorph listed for this composition (kJ/mol of formula units) = 0
- V (Å³ per cell) = 91

[23]
Below is a relaxed BaY2Cd crystal, with properties calculated at the PBE level.

Geometry as extended XYZ:
```
4
Lattice="3.8632 0.0000 0.0000 0.0000 3.8632 0.0000 0.0000 0.0000 9.4744" Properties=species:S:1:pos:R:3 pbc="T T T"
Ba 0.0000 0.0000 0.0000
Y 0.0000 0.0000 4.1459
Y 1.9316 1.9316 6.3466
Cd 1.9316 1.9316 2.4864
```

Values from the calculation:
- calculated total energy (eV/atom) = -4.0118
- ΔH_f (0 K) (eV/atom) = -0.070
- V (Å³ per cell) = 141